Entry from the Alexandria database: a relaxed structure of K2NaTl2 (PBE-GGA).

Cell lengths 8.3208, 8.3208, 5.9499 Å; angles 90.00, 90.00, 90.00 degrees
With the nearest neighbours (Å) after each atom.
Element x y z (fractional)
K1 0.6752 0.8248 0.5000  6 Tl 3.76-3.92, 1 K 4.12
K2 0.8248 0.3248 0.5000  6 Tl 3.76-3.92, 1 K 4.12
K3 0.1752 0.6752 0.5000  6 Tl 3.76-3.92, 1 K 4.12
Tl1 0.3712 0.8712 0.0000  1 Tl 3.03, 2 Na 3.27
Tl2 0.6288 0.1288 0.0000  1 Tl 3.03, 2 Na 3.27
Na1 0.0000 0.0000 0.0000  4 Tl 3.27
K4 0.3248 0.1752 0.5000  6 Tl 3.76-3.92, 1 K 4.12
Tl3 0.1288 0.3712 0.0000  1 Tl 3.03, 2 Na 3.27
Tl4 0.8712 0.6288 0.0000  1 Tl 3.03, 2 Na 3.27
Na2 0.5000 0.5000 0.0000  4 Tl 3.27

Output
* ΔE to the lowest computed polymorph: 0.00 eV/f.u.
* total energy: -1.69 eV per atom